No. 1
{
  "formula": "SiMoPb",
  "functional": "PBE",
  "state": "optimized geometry",
  "lattice_angstrom": [[0.000, 3.137, 3.137], [3.137, 0.000, 3.137], [3.137, 3.137, 0.000]],
  "species": ["Si", "Mo", "Pb"],
  "frac_coords": [[0.000, 0.000, 0.000], [0.750, 0.750, 0.750], [0.250, 0.250, 0.250]],
  "spacegroup": "F-43m (216)"
}

---

No. 2
{
  "formula": "SnMoPb",
  "functional": "PBE",
  "state": "optimized geometry",
  "lattice_angstrom": [[0.000, 3.366, 3.366], [3.366, 0.000, 3.366], [3.366, 3.366, 0.000]],
  "species": ["Sn", "Mo", "Pb"],
  "frac_coords": [[0.000, 0.000, 0.000], [0.750, 0.750, 0.750], [0.500, 0.500, 0.500]],
  "de_polymorph_mev_per_atom": 0.0,
  "spacegroup": "F-43m (216)"
}

---

No. 3
{
  "formula": "TaMoPb2",
  "functional": "PBE",
  "state": "optimized geometry",
  "lattice_angstrom": [[0.000, 3.506, 3.506], [3.506, 0.000, 3.506], [3.506, 3.506, 0.000]],
  "species": ["Ta", "Mo", "Pb", "Pb"],
  "frac_coords": [[0.000, 0.000, 0.000], [0.250, 0.250, 0.250], [0.500, 0.500, 0.500], [0.750, 0.750, 0.750]],
  "spacegroup": "F-43m (216)"
}

---

No. 4
{
  "formula": "TbMo2Pb2",
  "functional": "PBE",
  "state": "optimized geometry",
  "lattice_angstrom": [[-2.090, 2.090, 6.485], [2.090, -2.090, 6.485], [2.090, 2.090, -6.485]],
  "species": ["Tb", "Mo", "Mo", "Pb", "Pb"],
  "frac_coords": [[0.000, 0.000, 0.000], [0.250, 0.750, 0.500], [0.750, 0.250, 0.500], [0.390, 0.390, 0.000], [0.610, 0.610, 0.000]],
  "de_polymorph_mev_per_atom": 41.3,
  "spacegroup": "I4/mmm (139)"
}

---

No. 5
{
  "formula": "TbMoPb",
  "functional": "PBE",
  "state": "optimized geometry",
  "lattice_angstrom": [[0.000, 3.415, 3.415], [3.415, 0.000, 3.415], [3.415, 3.415, 0.000]],
  "species": ["Tb", "Mo", "Pb"],
  "frac_coords": [[0.000, 0.000, 0.000], [0.500, 0.500, 0.500], [0.750, 0.750, 0.750]],
  "spacegroup": "F-43m (216)"
}

---

No. 6
{
  "formula": "TbMo2Pb2",
  "functional": "PBE",
  "state": "optimized geometry",
  "lattice_angstrom": [[-2.374, 2.374, 5.331], [2.374, -2.374, 5.331], [2.374, 2.374, -5.331]],
  "species": ["Tb", "Mo", "Mo", "Pb", "Pb"],
  "frac_coords": [[0.000, 0.000, 0.000], [0.398, 0.398, 0.000], [0.602, 0.602, 0.000], [0.250, 0.750, 0.500], [0.750, 0.250, 0.500]],
  "de_polymorph_mev_per_atom": 0.0,
  "spacegroup": "I4/mmm (139)"
}

---

| no. | uncorrected energy (eV/atom) |
| --- | --- |
| 1 | -5.84 |
| 2 | -5.49 |
| 3 | -6.68 |
| 4 | -6.30 |
| 5 | -5.74 |
| 6 | -6.34 |